Here is a relaxed RbNbOs crystal from OQMD via LeMat-Bulk. Energies are from PBE.

Calculated values
SG = No. 216
Uncorrected energy = -5.690 eV per atom

abc: 4.6541 4.6541 4.6541
angles: 60.00 60.00 60.00
Closest atoms and distances in Å follow each position.
Fractional positions:
Rb: 0.0000 0.0000 0.0000  4 Os 2.85
Nb: 0.5000 0.5000 0.5000  4 Os 2.85
Os: 0.7500 0.7500 0.7500  4 Nb 2.85, 4 Rb 2.85

Here is a relaxed Sm2PdN3 crystal from OQMD via LeMat-Bulk. Energies are from PBE.

Calculated values
SG = No. 71
Uncorrected energy = -7.388 eV per atom

abc: 6.8998 6.8998 6.8998
angles: 151.03 147.59 44.02
Closest atoms and distances in Å follow each position.
Fractional positions:
Sm: 0.1511 0.1511 0.0000  7 N 2.33-2.59
Sm: 0.8489 0.8489 0.0000  7 N 2.33-2.59
Pd: 0.5000 0.5000 0.0000  4 N 1.93-2.13
N: 0.0000 0.5000 0.5000  2 Pd 1.93
N: 0.3333 0.3333 0.0000  1 Pd 2.13, 1 Sm 2.33
N: 0.6667 0.6667 0.0000  1 Pd 2.13, 1 Sm 2.33

Here is a relaxed NaLiPm crystal from OQMD via LeMat-Bulk. Energies are from PBE.

Calculated values
SG = No. 216
Uncorrected energy = -1.846 eV per atom

abc: 5.3140 5.3140 5.3140
angles: 60.00 60.00 60.00
Closest atoms and distances in Å follow each position.
Fractional positions:
Na: 0.0000 0.0000 0.0000  4 Pm 3.25
Li: 0.5000 0.5000 0.5000  4 Pm 3.25
Pm: 0.7500 0.7500 0.7500  4 Na 3.25, 4 Li 3.25

Here is a relaxed IrS3 crystal from OQMD via LeMat-Bulk. Energies are from PBE.

Calculated values
SG = No. 11
Uncorrected energy = -5.172 eV per atom

abc: 6.2393 3.3870 8.4929
angles: 90.00 96.90 90.00
Closest atoms and distances in Å follow each position.
Fractional positions:
Ir: 0.2261 0.2500 0.3534  6 S 2.28-2.46
Ir: 0.7739 0.7500 0.6466  6 S 2.28-2.46
S: 0.0314 0.7500 0.1838  1 S 2.06
S: 0.2575 0.7500 0.5346  2 Ir 2.28
S: 0.3605 0.7500 0.1797  1 S 2.06
S: 0.6395 0.2500 0.8203  1 S 2.06
S: 0.7425 0.2500 0.4654  2 Ir 2.28
S: 0.9686 0.2500 0.8162  1 S 2.06